DFT (PBE) results for a relaxed Zn2GaHgPt crystal.

Properties
DOS at the Fermi energy	2.11	states/eV per cell
energy	-0.094	hartree per atom
space group	P4/mmm, No. 123
magnetic moment	0.00	μB/f.u.

Unit cell a=4.9560 b=4.9560 c=4.7925 alpha=90.00 beta=90.00 gamma=90.00
Positions (direct):
Zn (0.0000, 0.5000, 0.0000)
Zn (0.5000, 0.0000, 0.0000)
Ga (0.0000, 0.0000, 0.5000)
Hg (0.5000, 0.5000, 0.5000)
Pt (0.0000, 0.0000, 0.0000)